# Ca2Pr2Pd15

Crystalline Ca2Pr2Pd15 at its relaxed geometry (PBE, Alexandria via LeMat-Bulk).

Values from the calculation:
Calculated density ... 9.30 g/cm³
Energy ... -5.3138 eV per atom
Total moment ... 0.0 μB per cell
Symmetry ... R-3m, No. 166
Crystal system ... trigonal
Energy of formation ... -48 kJ per mole of atoms

a b c (Å): 7.117 7.117 7.117
angles (deg): 81.47 81.47 81.47
Sites, in units of the cell vectors:
1 Pd 0.164 0.653 0.653
2 Pd 0.000 0.000 0.500
3 Pd 0.686 0.314 0.000
4 Pd 0.686 0.000 0.314
5 Pd 0.000 0.500 0.000
6 Pd 0.347 0.347 0.836
7 Pd 0.500 0.000 0.000
8 Pd 0.836 0.347 0.347
9 Pd 0.653 0.164 0.653
10 Pd 0.000 0.686 0.314
11 Pd 0.000 0.314 0.686
12 Pd 0.314 0.686 0.000
13 Pd 0.347 0.836 0.347
14 Pd 0.653 0.653 0.164
15 Pd 0.314 0.000 0.686
16 Pr 0.642 0.642 0.642
17 Pr 0.358 0.358 0.358
18 Ca 0.897 0.897 0.897
19 Ca 0.103 0.103 0.103

# CaPr3Pd

Crystalline CaPr3Pd at its relaxed geometry (PBE, Alexandria via LeMat-Bulk).

Values from the calculation:
Calculated density ... 5.41 g/cm³
Energy ... -4.4794 eV per atom
Total moment ... 1.4 μB per cell
Symmetry ... P6_3/mmc, No. 194
Crystal system ... hexagonal
Energy above the lowest structure with this stoichiometry ... 0 meV/atom
Energy of formation ... -17 kJ per mole of atoms

a b c (Å): 6.313 7.991 7.991
angles (deg): 120.00 90.00 90.00
Each line ends with the local moment (μB).
Sites, in units of the cell vectors:
1 Pr 0.750 0.643 0.821  0.08
2 Pr 0.750 0.179 0.821  0.08
3 Pr 0.250 0.357 0.179  0.08
4 Pr 0.750 0.179 0.357  0.08
5 Pr 0.250 0.821 0.643  0.08
6 Pr 0.250 0.821 0.179  0.08
7 Ca 0.250 0.333 0.667  0.02
8 Ca 0.750 0.667 0.333  0.02
9 Pd 0.000 0.000 0.000  0.02
10 Pd 0.500 0.000 0.000  0.02

# CaPrPd6

Crystalline CaPrPd6 at its relaxed geometry (PBE, Alexandria via LeMat-Bulk).

Values from the calculation:
Calculated density ... 9.23 g/cm³
Energy ... -5.3388 eV per atom
Total moment ... 0.0 μB per cell
Symmetry ... P-6m2, No. 187
Crystal system ... hexagonal
Energy above the lowest structure with this stoichiometry ... 0 meV/atom
Energy of formation ... -58 kJ per mole of atoms

a b c (Å): 4.747 5.988 5.988
angles (deg): 119.96 90.00 90.00
Sites, in units of the cell vectors:
1 Pd 0.500 0.908 0.092
2 Pd 0.000 0.071 0.410
3 Pd 0.500 0.908 0.566
4 Pd 0.000 0.590 0.929
5 Pd 0.500 0.434 0.092
6 Pd 0.000 0.589 0.411
7 Ca 0.500 0.416 0.584
8 Pr 0.000 0.084 0.916

# CaPrPd

Crystalline CaPrPd at its relaxed geometry (PBE, Alexandria via LeMat-Bulk).

Values from the calculation:
Calculated density ... 4.80 g/cm³
Energy ... -4.3834 eV per atom
Total moment ... 0.0 μB per cell
Symmetry ... P3m1, No. 156
Crystal system ... trigonal
Energy above the lowest structure with this stoichiometry ... 117 meV/atom
Energy of formation ... -38 kJ per mole of atoms

a b c (Å): 6.729 4.132 4.132
angles (deg): 120.00 90.00 90.00
Sites, in units of the cell vectors:
1 Pd 0.004 0.000 0.000
2 Pr 0.244 0.333 0.667
3 Ca 0.751 0.667 0.333

- Which value of energy does entry 4 give?
  -4.3834 eV per atom